Compound: Mg2OsRu
Source: the Alexandria database
Functional: GGA-PBE
Structure: optimized geometry

a b c (Å): 4.2225 3.8424 3.8424
angles (deg): 90.00 90.00 90.00
Last column: nearest neighbours and their distance in Å.
Element x y z (fractional)
Mg1 0.0000 0.5000 0.5000  4 Mg 2.72, 4 Ru 2.85, 4 Os 2.85
Ru1 0.5000 0.0000 0.5000  4 Os 2.72, 8 Mg 2.85
Os1 0.5000 0.5000 0.0000  4 Ru 2.72, 8 Mg 2.85
Mg2 0.0000 0.0000 0.0000  4 Mg 2.72, 4 Ru 2.85, 4 Os 2.85

SG = P4/mmm
E above lowest polymorph = 1.10 eV/f.u.
crystal system = tetragonal
ΔE_f = 27.1 kJ/mol of atoms